No. 1
Computed, not measured: crystalline GeB2W2 at its relaxed geometry at the GGA-PBE level of DFT.

Results
The volume comes out at 11.5 A^3/atom. The total magnetic moment comes out at 0.00 μB/f.u. The value obtained for the total energy is -8.77 eV per atom. The theoretical density is 13.4 g cm⁻³. Its space group is No. 65.

a = 6.082 Å, b = 6.082 Å, c = 3.152 Å
α = 90.00°, β = 90.00°, γ = 150.55°
Fractional positions:
Ge1 0.000 0.000 0.000
B1 0.212 0.788 0.000
B2 0.788 0.212 0.000
W1 0.359 0.641 0.500
W2 0.641 0.359 0.500

No. 2
Computed, not measured: crystalline CsDy2CuTeS3 at its relaxed geometry at the GGA-PBE level of DFT.

Results
The volume comes out at 26.7 A^3/atom. The total magnetic moment comes out at 0.00 μB/f.u. The value obtained for the total energy is -5.20 eV per atom. The theoretical density is 5.8 g cm⁻³. Its space group is No. 63.

a = 7.626 Å, b = 7.626 Å, c = 14.024 Å
α = 90.00°, β = 90.00°, γ = 148.43°
Fractional positions:
Cs1 0.100 0.900 0.750
Cs2 0.900 0.100 0.250
Dy1 0.352 0.648 0.567
Dy2 0.352 0.648 0.933
Dy3 0.648 0.352 0.067
Dy4 0.648 0.352 0.433
Cu1 0.170 0.830 0.250
Cu2 0.830 0.170 0.750
Te1 0.000 0.000 0.000
Te2 0.000 0.000 0.500
S1 0.259 0.741 0.107
S2 0.259 0.741 0.393
S3 0.410 0.590 0.750
S4 0.590 0.410 0.250
S5 0.741 0.259 0.607
S6 0.741 0.259 0.893